Here is a relaxed PrPdC crystal from the Alexandria database. Energies are from PBE-GGA.

Energy = -6.35 eV/atom
Energy of formation from the pure elements = 46 meV per atom

abc: 3.891 3.849 8.127
angles: 90.00 103.72 90.00
Space group P2_1/m (No. 11)
One atom of each set of equivalent atoms:
1 Pr 0.164 0.250 0.326 x2
2 Pd 0.444 0.250 0.890 x2
3 C 0.321 0.250 0.643 x2